First-principles (PBE) data for a relaxed structure of Ni2HgRh, as listed in the Alexandria database.

Unit cell a=2.807 b=3.592 c=5.673 alpha=90.00 beta=90.00 gamma=90.00
Each line ends with the local moment (μB).
Fractional positions:
Hg 0.500 0.500 0.750  -0.02
Ni 0.000 0.000 0.032  0.41
Ni 0.000 0.000 0.468  0.41
Rh 0.500 0.500 0.250  0.47

Computed properties:
The calculation puts the theoretical density at 12.2 g/cm3. Its space-group type is Pmmm (47). The value obtained for the formation energy is 0.70 eV/f.u.

***

First-principles (PBE) data for a relaxed structure of Tb3Nd7Th, as listed in the Alexandria database.

Unit cell a=8.725 b=7.242 c=7.242 alpha=120.00 beta=90.00 gamma=90.00
Fractional positions:
Tb 0.779 0.497 0.503
Tb 0.779 0.497 0.994
Tb 0.779 0.006 0.503
Nd 0.116 0.170 0.830
Nd 0.116 0.170 0.339
Nd 0.116 0.667 0.333
Nd 0.455 0.833 0.167
Nd 0.455 0.334 0.167
Nd 0.455 0.833 0.666
Nd 0.116 0.661 0.830
Th 0.450 0.333 0.667

Computed properties:
The calculation puts the theoretical density at 7.2 g/cm3. Its space-group type is P3m1 (156). The value obtained for the formation energy is 2.08 eV/f.u.

***

First-principles (PBE) data for a relaxed structure of CrHSe2, as listed in the Alexandria database.

Unit cell a=3.078 b=7.436 c=7.658 alpha=63.03 beta=90.31 gamma=101.94
Fractional positions:
H 0.627 0.633 0.463
H 0.027 0.443 0.133
Se 0.376 0.136 0.270
Se 0.613 0.611 0.274
Se 0.911 0.195 0.726
Se 0.678 0.729 0.724
Cr 0.320 0.016 0.620
Cr 0.967 0.316 0.368

Computed properties:
The calculation puts the theoretical density at 4.6 g/cm3. Its space-group type is P1 (1).

***

First-principles (PBE) data for a relaxed structure of Ta2NbTc4, as listed in the Alexandria database.

Unit cell a=5.420 b=5.420 c=5.420 alpha=109.72 beta=109.34 gamma=109.34
Each line ends with the local moment (μB).
Fractional positions:
Ta 0.500 0.500 0.000  -0.01
Ta 0.500 0.000 0.500  -0.01
Nb 0.000 0.000 0.000  -0.02
Tc 0.500 0.000 0.000  0.16
Tc 0.500 0.500 0.500  0.16
Tc 0.000 0.000 0.500  0.16
Tc 0.000 0.500 0.000  0.16

Computed properties:
The calculation puts the theoretical density at 11.5 g/cm3. Its space-group type is I4/mmm (139). The value obtained for the formation energy is 1.24 eV/f.u.

***

| no. | raw total energy (eV per atom) | magnetization (μB per atom) |
| --- | --- | --- |
| 1 | -4.630 | 0.3072 |
| 2 | -4.782 | 0.0000 |
| 3 | -5.186 | 0.0000 |
| 4 | -10.571 | 0.0953 |